(1)
{
  "formula": "Ac2In3Ni",
  "functional": "PBE-GGA",
  "state": "optimized geometry",
  "total_energy_ev_per_atom": -4.0822,
  "lattice_angstrom": [[4.200, 0.000, 0.000], [0.000, 4.882, 0.000], [0.000, 0.000, 8.503]],
  "species": ["Ac", "Ac", "In", "In", "In", "Ni"],
  "frac_coords": [[0.000, 0.000, 0.000], [0.000, 0.500, 0.453], [0.500, 0.000, 0.615], [0.500, 0.500, 0.149], [0.500, 0.500, 0.803], [0.500, 0.000, 0.293]]
}

---

(2)
{
  "formula": "AcInNi",
  "functional": "PBE-GGA",
  "state": "optimized geometry",
  "total_energy_ev_per_atom": -4.5161,
  "e_above_lowest_polymorph_mev_per_atom": 113,
  "lattice_angstrom": [[4.615, 0.000, 0.000], [-2.308, 3.997, 0.000], [0.000, 0.000, 4.300]],
  "species": ["Ac", "In", "Ni"],
  "frac_coords": [[0.000, 0.000, 0.000], [0.667, 0.333, 0.500], [0.333, 0.667, 0.500]]
}

---

(3)
{
  "formula": "Ac2In5Ni3",
  "functional": "PBE-GGA",
  "state": "optimized geometry",
  "total_energy_ev_per_atom": -4.2398,
  "lattice_angstrom": [[2.278, -13.436, 0.000], [2.278, 13.436, 0.000], [0.000, 0.000, 7.513]],
  "species": ["Ac", "Ac", "Ac", "Ac", "In", "In", "In", "In", "In", "In", "In", "In", "In", "In", "Ni", "Ni", "Ni", "Ni", "Ni", "Ni"],
  "frac_coords": [[0.030, 0.970, 0.500], [0.326, 0.674, 0.409], [0.674, 0.326, 0.909], [0.970, 0.030, 0.000], [0.095, 0.905, 0.107], [0.205, 0.795, 0.599], [0.212, 0.788, 0.206], [0.370, 0.630, 0.935], [0.449, 0.551, 0.335], [0.551, 0.449, 0.835], [0.630, 0.370, 0.435], [0.788, 0.212, 0.706], [0.795, 0.205, 0.099], [0.905, 0.095, 0.607], [0.110, 0.890, 0.744], [0.269, 0.731, 0.901], [0.453, 0.547, 0.708], [0.547, 0.453, 0.208], [0.731, 0.269, 0.401], [0.890, 0.110, 0.244]]
}

---

(4)
{
  "formula": "AcIn3Ni2",
  "functional": "PBE-GGA",
  "state": "optimized geometry",
  "total_energy_ev_per_atom": -4.2704,
  "e_above_lowest_polymorph_mev_per_atom": 0,
  "lattice_angstrom": [[6.015, 0.000, 0.000], [-3.007, 5.209, 0.000], [0.000, 0.000, 4.174]],
  "species": ["Ac", "In", "In", "In", "Ni", "Ni"],
  "frac_coords": [[0.000, 0.000, 0.000], [0.000, 0.500, 0.500], [0.500, 0.000, 0.500], [0.500, 0.500, 0.500], [0.333, 0.667, 0.000], [0.667, 0.333, 0.000]]
}

---

(5)
{
  "formula": "Ac5In3Ni3",
  "functional": "PBE-GGA",
  "state": "optimized geometry",
  "total_energy_ev_per_atom": -4.3312,
  "lattice_angstrom": [[9.249, 0.000, 0.000], [-4.625, 8.010, 0.000], [0.000, 0.000, 4.854]],
  "species": ["Ac", "Ac", "Ac", "Ac", "Ac", "In", "In", "In", "Ni", "Ni", "Ni"],
  "frac_coords": [[0.000, 0.239, 0.000], [0.239, 0.000, 0.000], [0.333, 0.667, 0.000], [0.667, 0.333, 0.000], [0.761, 0.761, 0.000], [0.000, 0.587, 0.500], [0.413, 0.413, 0.500], [0.587, 0.000, 0.500], [0.000, 0.645, 0.000], [0.355, 0.355, 0.000], [0.645, 0.000, 0.000]]
}

---

(6)
{
  "formula": "Ac3InNi",
  "functional": "PBE-GGA",
  "state": "optimized geometry",
  "total_energy_ev_per_atom": -4.4354,
  "e_above_lowest_polymorph_mev_per_atom": 0,
  "lattice_angstrom": [[6.470, -2.960, 0.000], [6.470, 2.960, 0.000], [-3.793, 0.000, 9.027]],
  "species": ["Ac", "Ac", "Ac", "Ac", "Ac", "Ac", "In", "In", "Ni", "Ni"],
  "frac_coords": [[0.108, 0.108, 0.230], [0.156, 0.156, 0.642], [0.371, 0.371, 0.090], [0.629, 0.629, 0.910], [0.844, 0.844, 0.358], [0.892, 0.892, 0.770], [0.402, 0.402, 0.553], [0.598, 0.598, 0.447], [0.130, 0.130, 0.935], [0.870, 0.870, 0.065]]
}

---

(7)
{
  "formula": "Ac2In3Ni2",
  "functional": "PBE-GGA",
  "state": "optimized geometry",
  "total_energy_ev_per_atom": -4.3140,
  "lattice_angstrom": [[11.335, 0.000, 0.000], [0.000, 4.248, 0.000], [-0.824, 0.000, 7.350]],
  "species": ["Ac", "Ac", "Ac", "Ac", "In", "In", "In", "In", "In", "In", "Ni", "Ni", "Ni", "Ni"],
  "frac_coords": [[0.125, 0.000, 0.353], [0.375, 0.500, 0.647], [0.625, 0.500, 0.353], [0.875, 0.000, 0.647], [0.000, 0.500, 0.000], [0.177, 0.000, 0.854], [0.323, 0.500, 0.146], [0.500, 0.000, 0.000], [0.677, 0.500, 0.854], [0.823, 0.000, 0.146], [0.069, 0.500, 0.647], [0.431, 0.000, 0.353], [0.569, 0.000, 0.647], [0.931, 0.500, 0.353]]
}

---

(8)
{
  "formula": "AcIn3Ni",
  "functional": "PBE-GGA",
  "state": "optimized geometry",
  "total_energy_ev_per_atom": -3.8711,
  "e_above_lowest_polymorph_mev_per_atom": 112,
  "lattice_angstrom": [[5.068, 0.000, 0.000], [0.000, 5.068, 0.000], [0.000, 0.000, 5.068]],
  "species": ["Ac", "In", "In", "In", "Ni"],
  "frac_coords": [[0.000, 0.000, 0.000], [0.000, 0.500, 0.500], [0.500, 0.000, 0.500], [0.500, 0.500, 0.000], [0.500, 0.500, 0.500]]
}

---

(9)
{
  "formula": "Ac4InNi2",
  "functional": "PBE-GGA",
  "state": "optimized geometry",
  "total_energy_ev_per_atom": -4.6166,
  "e_above_lowest_polymorph_mev_per_atom": 3,
  "lattice_angstrom": [[2.110, -7.374, 0.000], [2.110, 7.374, 0.000], [0.000, 0.000, 15.000]],
  "species": ["Ac", "Ac", "Ac", "Ac", "Ac", "Ac", "Ac", "Ac", "In", "In", "Ni", "Ni", "Ni", "Ni"],
  "frac_coords": [[0.000, 0.000, 0.000], [0.000, 0.000, 0.500], [0.268, 0.732, 0.611], [0.268, 0.732, 0.889], [0.423, 0.577, 0.250], [0.577, 0.423, 0.750], [0.732, 0.268, 0.111], [0.732, 0.268, 0.389], [0.107, 0.893, 0.250], [0.893, 0.107, 0.750], [0.367, 0.633, 0.058], [0.367, 0.633, 0.442], [0.633, 0.367, 0.558], [0.633, 0.367, 0.942]]
}

---

(10)
{
  "formula": "Ac3In9Ni2",
  "functional": "PBE-GGA",
  "state": "optimized geometry",
  "total_energy_ev_per_atom": -3.7856,
  "lattice_angstrom": [[-2.400, 5.627, 6.783], [2.400, -5.627, 6.783], [2.400, 5.627, -6.783]],
  "species": ["Ac", "Ac", "Ac", "In", "In", "In", "In", "In", "In", "In", "In", "In", "Ni", "Ni"],
  "frac_coords": [[0.000, 0.000, 0.000], [0.320, 0.320, 0.000], [0.680, 0.680, 0.000], [0.024, 0.658, 0.366], [0.158, 0.879, 0.279], [0.293, 0.658, 0.634], [0.401, 0.121, 0.279], [0.500, 0.000, 0.500], [0.599, 0.879, 0.721], [0.707, 0.342, 0.366], [0.842, 0.121, 0.721], [0.976, 0.342, 0.634], [0.281, 0.500, 0.781], [0.719, 0.500, 0.219]]
}

---

(11)
{
  "formula": "AcIn3Ni",
  "functional": "PBE-GGA",
  "state": "optimized geometry",
  "total_energy_ev_per_atom": -3.9832,
  "e_above_lowest_polymorph_mev_per_atom": 0,
  "lattice_angstrom": [[9.181, 0.000, 0.000], [0.000, 4.527, 0.000], [0.000, 0.000, 11.869]],
  "species": ["Ac", "Ac", "Ac", "Ac", "In", "In", "In", "In", "In", "In", "In", "In", "In", "In", "In", "In", "Ni", "Ni", "Ni", "Ni"],
  "frac_coords": [[0.186, 0.250, 0.003], [0.314, 0.750, 0.503], [0.686, 0.250, 0.497], [0.814, 0.750, 0.997], [0.057, 0.250, 0.582], [0.121, 0.750, 0.786], [0.135, 0.750, 0.218], [0.365, 0.250, 0.718], [0.379, 0.250, 0.286], [0.443, 0.750, 0.082], [0.557, 0.250, 0.918], [0.621, 0.750, 0.714], [0.635, 0.750, 0.282], [0.865, 0.250, 0.782], [0.879, 0.250, 0.214], [0.943, 0.750, 0.418], [0.102, 0.250, 0.356], [0.398, 0.750, 0.856], [0.602, 0.250, 0.144], [0.898, 0.750, 0.644]]
}

---

(12)
{
  "formula": "Ac2InNi",
  "functional": "PBE-GGA",
  "state": "optimized geometry",
  "total_energy_ev_per_atom": -4.4711,
  "lattice_angstrom": [[7.590, 0.000, 0.000], [0.000, 5.684, 0.000], [0.000, 0.000, 11.894]],
  "species": ["Ac", "Ac", "Ac", "Ac", "Ac", "Ac", "Ac", "Ac", "In", "In", "In", "In", "Ni", "Ni", "Ni", "Ni"],
  "frac_coords": [[0.049, 0.250, 0.227], [0.184, 0.250, 0.556], [0.316, 0.750, 0.056], [0.451, 0.750, 0.727], [0.549, 0.250, 0.273], [0.684, 0.250, 0.944], [0.816, 0.750, 0.444], [0.951, 0.750, 0.773], [0.195, 0.250, 0.858], [0.305, 0.750, 0.358], [0.695, 0.250, 0.642], [0.805, 0.750, 0.142], [0.170, 0.750, 0.559], [0.330, 0.250, 0.059], [0.670, 0.750, 0.941], [0.830, 0.250, 0.441]]
}

---

Across the entries above, energy of formation takes the values -0.38; -0.31; -0.31; -0.29; -0.14; -0.27; -0.31; -0.25; -0.23; -0.32; -0.36; -0.29 eV per atom, respectively.
Across the entries above, total magnetic moment takes the values 0.00; 0.00; 0.00; 0.00; 0.00; 0.00; 0.00; 0.00; 0.00; 0.00; 0.00; 0.00 μB per cell, respectively.